# 1
# Cr2CdCl

A relaxed Cr2CdCl crystal (PBE-GGA, Alexandria).

Its magnetization is 9.02 μB/f.u.

Lattice parameters (Å, degrees): 5.071 5.071 3.152 90.00 90.00 104.82
Atoms (fractional coordinates):
Cr 0.500 0.500 0.000
Cr 0.000 0.000 0.000
Cd 0.500 0.000 0.500
Cl 0.000 0.500 0.500

---

# 2
# CrCdCl3

A relaxed CrCdCl3 crystal (PBE-GGA, Alexandria).

Its magnetization is 3.27 μB/f.u.

Lattice parameters (Å, degrees): 4.893 4.893 4.893 90.00 90.00 90.00
Atoms (fractional coordinates):
Cl 0.500 0.000 0.000
Cr 0.000 0.000 0.000
Cl 0.000 0.000 0.500
Cl 0.000 0.500 0.000
Cd 0.500 0.500 0.500

---

# 3
# CrCdCl2

A relaxed CrCdCl2 crystal (PBE-GGA, Alexandria).

Its magnetization is 4.43 μB/f.u.

Lattice parameters (Å, degrees): 9.448 9.448 9.448 21.96 21.96 21.96
Atoms (fractional coordinates):
Cr 0.000 0.000 0.000
Cl 0.082 0.082 0.082
Cd 0.500 0.500 0.500
Cl 0.918 0.918 0.918

---

# 4
# CrCdCl2

A relaxed CrCdCl2 crystal (PBE-GGA, Alexandria).

Its magnetization is 4.56 μB/f.u.

Lattice parameters (Å, degrees): 4.867 4.868 3.637 90.00 90.00 90.06
Atoms (fractional coordinates):
Cl 0.500 0.500 0.000
Cl 0.000 0.000 0.000
Cr 0.500 0.000 0.500
Cd 0.000 0.500 0.500

---

# 5
# Cr2CdCl

A relaxed Cr2CdCl crystal (PBE-GGA, Alexandria).

Its magnetization is 8.97 μB/f.u.

Lattice parameters (Å, degrees): 5.177 5.177 5.177 129.89 129.89 73.59
Atoms (fractional coordinates):
Cr 0.000 0.000 0.000
Cd 0.250 0.750 0.500
Cl 0.750 0.250 0.500
Cr 0.500 0.500 0.000

---

# 6
# Cr2CdCl

A relaxed Cr2CdCl crystal (PBE-GGA, Alexandria).

Its magnetization is 8.90 μB/f.u.

Lattice parameters (Å, degrees): 5.549 5.549 5.549 146.48 117.87 72.47
Atoms (fractional coordinates):
Cr 0.477 0.477 0.000
Cr 0.023 0.023 0.000
Cd 0.750 0.250 0.500
Cl 0.250 0.750 0.500

---

# 7
# CrCdCl4

A relaxed CrCdCl4 crystal (PBE-GGA, Alexandria).

Its magnetization is 4.00 μB/f.u.

Lattice parameters (Å, degrees): 3.884 6.362 6.474 92.46 90.00 90.00
Atoms (fractional coordinates):
Cr 0.500 0.000 0.500
Cl 0.500 0.781 0.797
Cl 0.500 0.219 0.203
Cl 0.000 0.783 0.333
Cd 0.000 0.000 0.000
Cl 0.000 0.217 0.667

---

# 8
# Cr2CdCl

A relaxed Cr2CdCl crystal (PBE-GGA, Alexandria).

Its magnetization is 0.00 μB/f.u.

Lattice parameters (Å, degrees): 4.415 4.415 4.415 60.00 60.00 60.00
Atoms (fractional coordinates):
Cl 0.000 0.000 0.000
Cr 0.750 0.750 0.750
Cr 0.250 0.250 0.250
Cd 0.500 0.500 0.500

---

# 9
# CrCdCl2

A relaxed CrCdCl2 crystal (PBE-GGA, Alexandria).

Its magnetization is 4.11 μB/f.u.

Lattice parameters (Å, degrees): 9.908 9.908 9.908 20.67 20.67 20.67
Atoms (fractional coordinates):
Cr 0.250 0.250 0.250
Cd 0.750 0.750 0.750
Cl 0.534 0.534 0.534
Cl 0.966 0.966 0.966

---

# 10
# Cr2CdCl

A relaxed Cr2CdCl crystal (PBE-GGA, Alexandria).

Its magnetization is 8.39 μB/f.u.

Lattice parameters (Å, degrees): 3.203 3.384 7.461 90.00 90.00 90.00
Atoms (fractional coordinates):
Cr 0.000 0.750 0.018
Cl 0.500 0.750 0.750
Cd 0.500 0.250 0.250
Cr 0.000 0.750 0.482

---

# 11
# CrCdCl2

A relaxed CrCdCl2 crystal (PBE-GGA, Alexandria).

Its magnetization is 4.00 μB/f.u.

Lattice parameters (Å, degrees): 7.629 7.629 7.208 58.05 58.05 90.00
Atoms (fractional coordinates):
Cr 0.250 0.750 0.500
Cd 0.750 0.250 0.500
Cl 0.289 0.625 0.250
Cl 0.875 0.711 0.750
Cd 0.000 0.000 0.000
Cl 0.375 0.539 0.750
Cl 0.461 0.125 0.250
Cr 0.500 0.500 0.000

---

# 12
# CrCdCl2

A relaxed CrCdCl2 crystal (PBE-GGA, Alexandria).

Its magnetization is 4.74 μB/f.u.

Lattice parameters (Å, degrees): 5.790 5.227 4.476 68.17 84.17 120.68
Atoms (fractional coordinates):
Cr 0.000 0.500 0.500
Cd 0.500 0.500 0.000
Cl 0.500 0.000 0.500
Cl 0.000 0.000 0.000

---

# 13
# Cr2CdCl

A relaxed Cr2CdCl crystal (PBE-GGA, Alexandria).

Its magnetization is 9.07 μB/f.u.

Lattice parameters (Å, degrees): 3.254 5.783 4.508 90.00 90.00 90.00
Atoms (fractional coordinates):
Cr 0.000 0.000 0.000
Cl 0.000 0.500 0.500
Cr 0.500 0.500 0.000
Cd 0.500 0.000 0.500

---

# 14
# Cr2CdCl

A relaxed Cr2CdCl crystal (PBE-GGA, Alexandria).

Its magnetization is 0.56 μB/f.u.

Lattice parameters (Å, degrees): 4.801 4.801 4.801 60.00 60.00 60.00
Atoms (fractional coordinates):
Cr 0.000 0.000 0.000
Cl 0.750 0.750 0.750
Cr 0.250 0.250 0.250
Cd 0.500 0.500 0.500

---

# 15
# CrCdCl2

A relaxed CrCdCl2 crystal (PBE-GGA, Alexandria).

Its magnetization is 3.98 μB/f.u.

Lattice parameters (Å, degrees): 6.033 6.033 6.033 147.44 109.47 79.86
Atoms (fractional coordinates):
Cl 0.047 0.047 0.000
Cl 0.682 0.182 0.500
Cr 0.510 0.510 0.000
Cd 0.262 0.762 0.500

---

Total DFT energy (no corrections)? In order: -19.85, -19.32, -14.89, -14.51, -19.58, -20.19, -23.79, -17.10, -16.42, -20.81, -31.68, -14.83, -19.72, -19.40, -15.89 eV per cell.
Polymorph energy (0 for the lowest one)? In order: 0.465, 0.000, 0.384, 0.478, 0.533, 0.378, 0.000, 1.152, 0.002, 0.224, 0.147, 0.398, 0.497, 0.576, 0.134 eV per atom.